Record 1
Compound: Tb12TlIn3
Source: Alexandria via LeMat-Bulk
Functional: PBE
Structure: optimized geometry

Properties
Its symmetry is P4/mmm, No. 123.

```
16
Lattice="4.8598 0.0000 0.0000 0.0000 4.8598 0.0000 0.0000 0.0000 19.4653" Properties=species:S:1:pos:R:3 pbc="T T T"
Tb 0.0000 0.0000 0.0000
Tb 0.0000 0.0000 4.8625
Tb 0.0000 0.0000 9.7326
Tb 0.0000 0.0000 14.6027
Tb 0.0000 2.4299 2.4324
Tb 0.0000 2.4299 7.2838
Tb 0.0000 2.4299 12.1815
Tb 0.0000 2.4299 17.0328
Tb 2.4299 0.0000 2.4324
Tb 2.4299 0.0000 7.2838
Tb 2.4299 0.0000 12.1815
Tb 2.4299 0.0000 17.0328
Tl 2.4299 2.4299 9.7326
In 2.4299 2.4299 0.0000
In 2.4299 2.4299 4.8658
In 2.4299 2.4299 14.5994
```


Record 2
Compound: BeHgBiMo2
Source: Alexandria via LeMat-Bulk
Functional: PBE
Structure: optimized geometry

Properties
Its symmetry is P4/mmm, No. 123.

```
5
Lattice="5.3082 0.0000 0.0000 0.0000 5.3082 0.0000 0.0000 0.0000 5.5755" Properties=species:S:1:pos:R:3 pbc="T T T"
Be 0.0000 0.0000 0.0000
Hg 2.6541 2.6541 0.0000
Bi 2.6541 2.6541 2.7877
Mo 0.0000 2.6541 2.7877
Mo 2.6541 0.0000 2.7877
```


Record 3
Compound: Ba2Li5Bi4
Source: Alexandria via LeMat-Bulk
Functional: PBE
Structure: optimized geometry

Properties
Its symmetry is Fmmm, No. 69.

```
11
Lattice="0.0000 5.9850 8.4394 3.2823 0.0000 8.4394 3.2823 5.9850 0.0000" Properties=species:S:1:pos:R:3 pbc="T T T"
Ba 3.2823 5.9850 2.7436
Ba 3.2823 5.9850 14.1352
Li 1.6411 2.9925 0.0000
Li 1.6411 2.9925 4.2197
Li 1.6411 2.9925 8.4394
Li 3.2823 5.9850 8.4394
Li 4.9234 8.9775 12.6591
Bi 3.2823 4.2874 6.1915
Bi 3.2823 4.2874 10.6873
Bi 3.2823 7.6826 6.1915
Bi 3.2823 7.6826 10.6873
```


Record 4
Compound: NaCo3B
Source: Alexandria via LeMat-Bulk
Functional: PBE
Structure: optimized geometry

Properties
Its symmetry is Pm-3m, No. 221.

```
5
Lattice="4.2602 0.0000 0.0000 0.0000 4.2602 0.0000 0.0000 0.0000 4.2602" Properties=species:S:1:pos:R:3 pbc="T T T"
Na 0.0000 0.0000 0.0000
Co 0.0000 0.0000 2.1301
Co 0.0000 2.1301 0.0000
Co 2.1301 0.0000 0.0000
B 2.1301 2.1301 2.1301
```


Record 5
Compound: Ta6NbW5
Source: Alexandria via LeMat-Bulk
Functional: PBE
Structure: optimized geometry

Properties
Its symmetry is Immm, No. 71.

```
12
Lattice="-2.3013 3.2586 6.8956 2.3013 -3.2586 6.8956 2.3013 3.2586 -6.8956" Properties=species:S:1:pos:R:3 pbc="T T T"
Ta 2.3013 1.6185 -2.3183
Ta 0.0000 1.6069 0.0000
Ta 2.3013 1.6185 2.3183
Ta 0.0000 1.6402 4.5772
Ta 0.0000 4.9103 0.0000
Ta 0.0000 1.6402 9.2139
Nb 0.0000 0.0000 6.8956
W 2.3013 0.0000 0.0000
W 0.0000 0.0000 2.3018
W 2.3013 0.0000 4.6043
W 0.0000 3.2586 2.2912
W 0.0000 0.0000 11.4893
```


Record 6
Compound: Zr12In3Os
Source: Alexandria via LeMat-Bulk
Functional: PBE
Structure: optimized geometry

Properties
Its symmetry is P4/mmm, No. 123.

```
16
Lattice="4.5847 0.0000 0.0000 0.0000 4.5847 0.0000 0.0000 0.0000 16.7040" Properties=species:S:1:pos:R:3 pbc="T T T"
Zr 0.0000 0.0000 0.0000
Zr 0.0000 0.0000 3.9813
Zr 0.0000 0.0000 8.3520
Zr 0.0000 0.0000 12.7227
Zr 0.0000 2.2923 1.7677
Zr 0.0000 2.2923 6.1979
Zr 0.0000 2.2923 10.5060
Zr 0.0000 2.2923 14.9362
Zr 2.2923 0.0000 1.7677
Zr 2.2923 0.0000 6.1979
Zr 2.2923 0.0000 10.5060
Zr 2.2923 0.0000 14.9362
In 2.2923 2.2923 4.0089
In 2.2923 2.2923 8.3520
In 2.2923 2.2923 12.6950
Os 2.2923 2.2923 0.0000
```


Record 7
Compound: SmDyGaAu
Source: Alexandria via LeMat-Bulk
Functional: PBE
Structure: optimized geometry

Properties
Its symmetry is Amm2, No. 38. The calculation puts the relative energy among the computed polymorphs at 0.0 meV per atom.

```
4
Lattice="4.5632 0.0000 0.0000 0.0000 1.9250 5.6350 0.0000 -1.9250 5.6350" Properties=species:S:1:pos:R:3 pbc="T T T"
Sm 0.0000 0.0000 0.0000
Dy 2.2816 0.0000 8.0446
Ga 0.0000 0.0000 3.0560
Au 2.2816 0.0000 4.8569
```


Record 8
Compound: GdMgSc2
Source: Alexandria via LeMat-Bulk
Functional: PBE
Structure: optimized geometry

Properties
Its symmetry is R-3m, No. 166. The calculation puts the relative energy among the computed polymorphs at 11.1 meV per atom.

```
4
Lattice="1.6689 0.9635 10.7656 -1.6689 0.9635 10.7656 0.0000 -1.9271 10.7656" Properties=species:S:1:pos:R:3 pbc="T T T"
Gd 0.0000 0.0000 0.0000
Mg 0.0000 0.0000 16.1484
Sc 0.0000 0.0000 7.9699
Sc 0.0000 0.0000 24.3269
```


| no. | formation energy (eV/atom) | total DFT energy (no corrections) (eV for the cell shown) |
| --- | --- | --- |
| 1 | -0.25 | -70.125 |
| 2 | 2.35 | -17.809 |
| 3 | -0.55 | -34.987 |
| 4 | 2.66 | -15.991 |
| 5 | -0.09 | -147.015 |
| 6 | -0.19 | -125.040 |
| 7 | -0.70 | -18.408 |
| 8 | 0.05 | -28.135 |